Density functional theory data (PBE-GGA) for Rb6Se2O after structural relaxation.

Structure (CIF):
```
data_Rb6Se2O
_cell_length_a 4.7049
_cell_length_b 15.1325
_cell_length_c 8.7222
_cell_angle_alpha 90.00
_cell_angle_beta 90.00
_cell_angle_gamma 90.00
_symmetry_space_group_name_H-M 'A m m 2'
_symmetry_Int_Tables_number 38
_symmetry_space_group_name_Hall 'A 2 -2'
loop_
_atom_site_label
_atom_site_type_symbol
_atom_site_fract_x
_atom_site_fract_y
_atom_site_fract_z
Rb1 Rb 0.0000 0.0000 0.0000
Rb2 Rb 0.0000 0.1155 0.6538
Rb3 Rb 0.5000 0.0000 0.3628
Rb4 Rb 0.5000 0.2039 0.9729
Se1 Se 0.0000 0.1666 0.2690
O1 O 0.5000 0.0000 0.7682
```

The value obtained for the relative energy among the computed polymorphs is 0.059 eV/atom.

---

Density functional theory data (PBE-GGA) for Rb12SeO6 after structural relaxation.

Structure (CIF):
```
data_Rb12SeO6
_cell_length_a 13.5701
_cell_length_b 13.5701
_cell_length_c 11.3574
_cell_angle_alpha 90.00
_cell_angle_beta 90.00
_cell_angle_gamma 120.00
_symmetry_space_group_name_H-M 'R -3'
_symmetry_Int_Tables_number 148
_symmetry_space_group_name_Hall '-R 3'
loop_
_atom_site_label
_atom_site_type_symbol
_atom_site_fract_x
_atom_site_fract_y
_atom_site_fract_z
Rb1 Rb 0.0150 0.2290 0.3773
Rb2 Rb 0.0257 0.1997 0.8826
Se1 Se 0.0000 0.0000 0.5000
O1 O 0.0266 0.2401 0.1350
```

For the density of states at the Fermi level, the calculation gives 1.626 states/eV/atom.

---

Density functional theory data (PBE-GGA) for Rb2SeO4 after structural relaxation.

Structure (CIF):
```
data_Rb2SeO4
_cell_length_a 8.5250
_cell_length_b 10.8319
_cell_length_c 6.4986
_cell_angle_alpha 90.00
_cell_angle_beta 90.00
_cell_angle_gamma 90.00
_symmetry_space_group_name_H-M 'A m a 2'
_symmetry_Int_Tables_number 40
_symmetry_space_group_name_Hall 'A 2 -2a'
loop_
_atom_site_label
_atom_site_type_symbol
_atom_site_fract_x
_atom_site_fract_y
_atom_site_fract_z
Rb1 Rb 0.0000 0.0000 0.0000
Rb2 Rb 0.2500 0.1877 0.4932
Se1 Se 0.2500 0.3481 0.0065
O1 O 0.0902 0.2585 0.0184
O2 O 0.2500 0.4308 0.7872
O3 O 0.2500 0.4459 0.2083
```

For the density of states at the Fermi level, the calculation gives 0.000 states/eV/atom.

---

Density functional theory data (PBE-GGA) for Rb3Se2O6 after structural relaxation.

Structure (CIF):
```
data_Rb3Se2O6
_cell_length_a 4.0278
_cell_length_b 4.0278
_cell_length_c 23.5094
_cell_angle_alpha 90.00
_cell_angle_beta 90.00
_cell_angle_gamma 90.00
_symmetry_space_group_name_H-M 'I 4/m m m'
_symmetry_Int_Tables_number 139
_symmetry_space_group_name_Hall '-I 4 2'
loop_
_atom_site_label
_atom_site_type_symbol
_atom_site_fract_x
_atom_site_fract_y
_atom_site_fract_z
Rb1 Rb 0.0000 0.0000 0.0000
Rb2 Rb 0.0000 0.0000 0.1886
Se1 Se 0.0000 0.0000 0.3925
O1 O 0.0000 0.0000 0.3198
O2 O 0.0000 0.5000 0.0934
```

For the density of states at the Fermi level, the calculation gives 0.212 states/eV/atom.

---

Density functional theory data (PBE-GGA) for Rb2SeO2 after structural relaxation.

Structure (CIF):
```
data_Rb2SeO2
_cell_length_a 3.2944
_cell_length_b 3.2944
_cell_length_c 19.8123
_cell_angle_alpha 90.00
_cell_angle_beta 90.00
_cell_angle_gamma 90.00
_symmetry_space_group_name_H-M 'I 4/m m m'
_symmetry_Int_Tables_number 139
_symmetry_space_group_name_Hall '-I 4 2'
loop_
_atom_site_label
_atom_site_type_symbol
_atom_site_fract_x
_atom_site_fract_y
_atom_site_fract_z
Rb1 Rb 0.0000 0.0000 0.1399
Se1 Se 0.0000 0.0000 0.5000
O1 O 0.0000 0.5000 0.2500
```

The value obtained for the relative energy among the computed polymorphs is 0.000 eV/atom. For the density of states at the Fermi level, the calculation gives 0.413 states/eV/atom.

---

Density functional theory data (PBE-GGA) for Rb12Se3O5 after structural relaxation.

Structure (CIF):
```
data_Rb12Se3O5
_cell_length_a 18.0209
_cell_length_b 18.0209
_cell_length_c 18.0209
_cell_angle_alpha 90.00
_cell_angle_beta 90.00
_cell_angle_gamma 90.00
_symmetry_space_group_name_H-M 'I a -3 d'
_symmetry_Int_Tables_number 230
_symmetry_space_group_name_Hall '-I 4bd 2c 3'
loop_
_atom_site_label
_atom_site_type_symbol
_atom_site_fract_x
_atom_site_fract_y
_atom_site_fract_z
Rb1 Rb 0.0292 0.0544 0.6476
Se1 Se 0.0000 0.2500 0.1250
O1 O 0.0000 0.0000 0.0000
O2 O 0.0000 0.2500 0.3750
```

For the density of states at the Fermi level, the calculation gives 1.547 states/eV/atom.

---

Density functional theory data (PBE-GGA) for RbSeO after structural relaxation.

Structure (CIF):
```
data_RbSeO
_cell_length_a 4.5681
_cell_length_b 5.5319
_cell_length_c 6.8039
_cell_angle_alpha 73.29
_cell_angle_beta 73.06
_cell_angle_gamma 88.69
_symmetry_space_group_name_H-M 'P 1'
_symmetry_Int_Tables_number 1
_symmetry_space_group_name_Hall 'P 1'
loop_
_atom_site_label
_atom_site_type_symbol
_atom_site_fract_x
_atom_site_fract_y
_atom_site_fract_z
Rb1 Rb 0.0000 0.0000 0.0000
Rb2 Rb 0.1889 0.6618 0.5791
Se1 Se 0.4660 0.4758 0.1151
Se2 Se 0.7347 0.1953 0.4677
O1 O 0.3577 0.2227 0.3913
O2 O 0.6176 0.9505 0.7133
```

The value obtained for the relative energy among the computed polymorphs is 0.284 eV/atom.

---

Density functional theory data (PBE-GGA) for Rb10Se2O3 after structural relaxation.

Structure (CIF):
```
data_Rb10Se2O3
_cell_length_a 25.0802
_cell_length_b 8.1276
_cell_length_c 10.7423
_cell_angle_alpha 90.00
_cell_angle_beta 110.77
_cell_angle_gamma 90.00
_symmetry_space_group_name_H-M 'C 1 2/m 1'
_symmetry_Int_Tables_number 12
_symmetry_space_group_name_Hall '-C 2y'
loop_
_atom_site_label
_atom_site_type_symbol
_atom_site_fract_x
_atom_site_fract_y
_atom_site_fract_z
Rb1 Rb 0.0000 0.2268 0.0000
Rb2 Rb 0.0142 0.5000 0.6844
Rb3 Rb 0.0189 0.0000 0.6755
Rb4 Rb 0.1146 0.2756 0.5288
Rb5 Rb 0.1389 0.0000 0.2466
Rb6 Rb 0.1535 0.2427 0.9844
Rb7 Rb 0.2354 0.0000 0.7751
Rb8 Rb 0.2500 0.2500 0.5000
Se1 Se 0.1208 0.5000 0.2271
Se2 Se 0.2236 0.5000 0.8060
O1 O 0.0000 0.2654 0.5000
O2 O 0.0753 0.0000 0.9522
O3 O 0.1731 0.0000 0.5204
```

---

Energy relative to the elements, uncorrected readings, ordered: -0.937, -0.891, -1.396, -1.053, -0.120, -0.866, -0.873, -0.962 eV per atom